(1)
Material: BaSeO2
Method: DFT, PBE
State: relaxed

```
BaSeO2
1.0
2.321 0.000 4.547
-1.160 2.010 4.547
-1.160 -2.010 4.547
O Se Ba
2 1 1
Direct
0.211 0.211 0.211
0.789 0.789 0.789
0.500 0.500 0.500
0.000 0.000 0.000
```

Space group   R-3m (166)



(2)
Material: Ca8GePt2
Method: DFT, PBE
State: relaxed

```
Ca8GePt2
1.0
5.755 0.143 -0.911
-1.842 7.215 -2.926
0.066 0.007 8.000
Ca Ge Pt
8 1 2
Direct
0.395 0.938 0.671
0.570 0.335 0.069
0.395 0.671 0.938
0.570 0.069 0.335
0.190 0.372 0.372
0.800 0.635 0.635
0.993 0.768 0.232
0.993 0.232 0.768
0.102 0.002 0.002
0.497 0.321 0.692
0.497 0.692 0.321
```

Space group   Cm (8)
Energy of formation from the pure elements   -564 kJ/mol of formula units



(3)
Material: U4AlFe4
Method: DFT, PBE
State: relaxed

```
U4AlFe4
1.0
4.710 0.000 0.000
2.355 5.808 0.000
2.355 0.000 5.808
U Fe Al
4 4 1
Direct
0.781 0.645 0.793
0.426 0.793 0.355
0.574 0.207 0.645
0.219 0.355 0.207
0.733 0.345 0.189
0.922 0.811 0.345
0.078 0.189 0.655
0.267 0.655 0.811
0.000 0.000 0.000
```

Space group   I4/m (87)
Energy of formation from the pure elements   52 kJ/mol of formula units



(4)
Material: HfBeI2
Method: DFT, PBE
State: relaxed

```
HfBeI2
1.0
3.368 1.181 3.538
-0.726 -1.470 4.751
2.908 -3.580 1.995
I Be Hf
2 1 1
Direct
0.250 0.250 0.250
0.750 0.750 0.750
0.000 0.000 0.000
0.500 0.500 0.500
```

Space group   Fm-3m (225)



(5)
Material: FeCo3Tc
Method: DFT, PBE
State: relaxed

```
FeCo3Tc
1.0
4.354 0.000 0.000
0.000 4.354 0.000
0.000 0.000 4.354
Co Fe Tc
3 1 1
Direct
0.500 0.000 0.000
0.000 0.000 0.500
0.000 0.500 0.000
0.500 0.500 0.500
0.000 0.000 0.000
```

Space group   Pm-3m (221)
Energy of formation from the pure elements   767 kJ/mol of formula units



(6)
Material: TbMgInS4
Method: DFT, PBE
State: relaxed

```
TbMgInS4
1.0
-3.886 -6.747 -0.091
0.426 -4.654 -6.233
3.884 -6.737 0.462
S Mg Tb In
8 2 2 2
Direct
0.751 0.226 0.271
0.747 0.759 0.259
0.249 0.229 0.274
0.235 0.759 0.259
0.253 0.241 0.741
0.751 0.771 0.726
0.765 0.241 0.741
0.249 0.774 0.729
0.000 0.000 0.500
0.500 0.000 0.500
0.000 0.500 0.500
0.000 0.000 0.000
0.632 0.618 0.118
0.368 0.382 0.882
```

Space group   Imma (74)



(7)
Material: BiBI
Method: DFT, PBE
State: relaxed

```
BiBI
1.0
-2.941 1.065 2.303
1.211 -3.642 3.771
6.337 12.386 -4.372
Bi B I
2 2 2
Direct
0.185 0.132 0.912
0.815 0.868 0.088
0.386 0.721 0.144
0.614 0.279 0.856
0.566 0.809 0.320
0.434 0.191 0.680
```

Space group   P-1 (2)



(8)
Material: MgRe2Ag
Method: DFT, PBE
State: relaxed

```
MgRe2Ag
1.0
-1.083 -4.025 -1.632
4.186 -1.428 0.689
-2.354 1.769 3.371
Re Ag Mg
2 1 1
Direct
0.000 0.000 0.000
0.750 0.250 0.500
0.500 0.500 0.000
0.250 0.750 0.500
```

Space group   I-4m2 (119)
Energy of formation from the pure elements   165 kJ/mol of formula units



(9)
Material: CuMoAs2
Method: DFT, PBE
State: relaxed

```
CuMoAs2
1.0
5.686 0.000 0.000
0.000 5.686 0.000
2.843 2.843 5.439
As Cu Mo
4 2 2
Direct
0.875 0.871 0.750
0.129 0.625 0.250
0.375 0.379 0.750
0.621 0.125 0.250
0.250 0.750 0.500
0.500 0.500 0.000
0.000 0.000 0.000
0.750 0.250 0.500
```

Space group   I-42d (122)
Energy of formation from the pure elements   124 kJ/mol of formula units



(10)
Material: GeSb2Te4
Method: DFT, PBE
State: relaxed

```
GeSb2Te4
1.0
4.205 0.000 0.000
0.000 8.008 0.000
0.000 0.000 14.483
Sb Te Ge
4 8 2
Direct
0.500 0.837 0.861
0.500 0.337 0.639
0.500 0.163 0.139
0.500 0.663 0.361
0.500 0.247 0.451
0.500 0.753 0.549
0.000 0.604 0.804
0.000 0.104 0.696
0.000 0.396 0.196
0.500 0.747 0.049
0.000 0.896 0.304
0.500 0.253 0.951
0.000 0.000 0.500
0.000 0.500 0.000
```

Space group   Pbam (55)



(11)
Material: SeI
Method: DFT, PBE
State: relaxed

```
SeI
1.0
-12.209 1.826 0.717
4.783 -11.029 2.897
0.509 1.496 4.855
I Se
6 6
Direct
0.260 0.914 0.750
0.740 0.086 0.250
0.086 0.347 0.750
0.653 0.740 0.750
0.914 0.653 0.250
0.347 0.260 0.250
0.487 0.966 0.750
0.513 0.034 0.250
0.479 0.513 0.750
0.966 0.479 0.250
0.034 0.521 0.750
0.521 0.487 0.250
```

Space group   P6_3/m (176)



(12)
Material: MgZnCd
Method: DFT, PBE
State: relaxed

```
MgZnCd
1.0
-2.103 -1.427 -3.870
4.611 0.406 0.114
0.243 -3.045 0.990
Mg Cd Zn
1 1 1
Direct
0.667 0.333 0.334
0.000 0.000 0.835
0.333 0.667 0.830
```

Space group   P3m1 (156)
Energy of formation from the pure elements   -9 kJ/mol of formula units



(13)
Material: TaTlBr2
Method: DFT, PBE
State: relaxed

```
TaTlBr2
1.0
3.522 -0.010 0.000
-2.059 2.858 0.000
0.000 0.000 10.606
Br Ta Tl
2 1 1
Direct
0.000 0.000 0.448
0.000 0.000 0.052
0.500 0.500 0.250
0.500 0.500 0.750
```

Space group   Cmmm (65)



Number 1: total energy -4.877 eV/atom. Number 2: total energy -3.505 eV/atom. Number 3: total energy -9.134 eV/atom. Number 4: total energy -3.599 eV/atom. Number 5: total energy -6.440 eV/atom. Number 6: total energy -4.966 eV/atom. Number 7: total energy -3.574 eV/atom. Number 8: total energy -6.909 eV/atom. Number 9: total energy -5.734 eV/atom. Number 10: total energy -3.673 eV/atom. Number 11: total energy -2.362 eV/atom. Number 12: total energy -1.293 eV/atom. Number 13: total energy -4.433 eV/atom.